# BeCd2Fe

Crystalline BeCd2Fe at its relaxed geometry (PBE, Alexandria).

Cell and atoms, written as POSCAR:
```
BeCd2Fe
1.0
-3.7565 0.0893 1.0442
-1.0474 -0.4493 -3.7297
-2.3186 -9.4431 -0.2504
Fe Be Cd
2 2 4
Direct
0.7500 0.2500 0.5000 Fe
0.0000 0.0000 0.0000 Fe
0.2500 0.7500 0.5000 Be
0.5000 0.5000 0.0000 Be
0.8750 0.8704 0.7500 Cd
0.1296 0.6250 0.2500 Cd
0.6204 0.1250 0.2500 Cd
0.3750 0.3796 0.7500 Cd
```

Computed properties:
The value obtained for the total energy is -2.785 eV/atom. The calculated density is 6.78 g cm⁻³. As for the crystal system: tetragonal. As for the space group: I-42d.